# 1
The following is a GGA-PBE calculation of a relaxed structure of LaDy4Th3, from Alexandria.

Unit cell a=7.1702 b=14.2304 c=6.2126 alpha=90.00 beta=125.24 gamma=90.00
Space group C2/m (No. 12)
Asymmetric unit:
La 0.0000 0.0000 0.0000 x2
Dy 0.0000 0.1248 0.5000 x4
Dy 0.0000 0.2537 0.0000 x4
Th 0.0000 0.3769 0.5000 x4
Th 0.0000 0.5000 0.0000 x2

For the total energy, the calculation gives -90.4 eV/cell. The calculation puts the formation energy from the elements at 0.052 eV/atom.


# 2
The following is a GGA-PBE calculation of a relaxed structure of La2Dy5Th4, from Alexandria.

Unit cell a=3.6019 b=8.7574 c=11.9501 alpha=104.93 beta=98.65 gamma=90.00
Space group P-1 (No. 2)
Asymmetric unit:
La 0.2298 0.3196 0.4586 x2
Dy 0.3228 0.0601 0.6446 x2
Dy 0.4133 0.7790 0.8262 x2
Dy 0.5000 0.5000 0.0000 x1
Th 0.0448 0.8632 0.0907 x2
Th 0.1329 0.5884 0.2678 x2

For the total energy, the calculation gives -62.1 eV/cell. The calculation puts the formation energy from the elements at 0.037 eV/atom.


# 3
The following is a GGA-PBE calculation of a relaxed structure of La2Dy4Th, from Alexandria.

Unit cell a=11.2694 b=11.2703 c=7.8849 alpha=90.00 beta=90.07 gamma=90.00
Space group C2/m (No. 12)
Asymmetric unit:
La 0.0000 0.0000 0.0000 x2
La 0.0000 0.0000 0.5000 x2
La 0.2500 0.2500 0.0000 x4
Dy 0.0004 0.2530 0.2788 x8
Dy 0.2470 0.5000 0.2790 x4
Dy 0.2470 0.5000 0.7213 x4
Th 0.0000 0.5000 0.0000 x2
Th 0.0000 0.5000 0.5000 x2

For the distance to the lowest polymorph of the same formula, the calculation gives 0.000 eV/atom. For the total energy, the calculation gives -133.7 eV/cell. The calculation puts the formation energy from the elements at 0.321 eV/atom.


# 4
The following is a GGA-PBE calculation of a relaxed structure of LaDy2Th, from Alexandria.

Unit cell a=5.1290 b=5.1290 c=4.9964 alpha=90.00 beta=90.00 gamma=90.00
Space group P4/mmm (No. 123)
Asymmetric unit:
La 0.0000 0.0000 0.0000 x1
Dy 0.0000 0.5000 0.5000 x2
Th 0.5000 0.5000 0.0000 x1

For the distance to the lowest polymorph of the same formula, the calculation gives 0.028 eV/atom. For the total energy, the calculation gives -21.4 eV/cell. The calculation puts the formation energy from the elements at 0.045 eV/atom.


# 5
The following is a GGA-PBE calculation of a relaxed structure of LaDy2Th, from Alexandria.

Unit cell a=8.0952 b=8.0952 c=8.0952 alpha=90.00 beta=90.00 gamma=90.00
Space group Fm-3m (No. 225)
Asymmetric unit:
La 0.0000 0.0000 0.0000 x4
Dy 0.2500 0.2500 0.2500 x8
Th 0.0000 0.0000 0.5000 x4

For the distance to the lowest polymorph of the same formula, the calculation gives 0.109 eV/atom. For the total energy, the calculation gives -84.2 eV/cell. The calculation puts the formation energy from the elements at 0.125 eV/atom.


# 6
The following is a GGA-PBE calculation of a relaxed structure of LaDy7Th2, from Alexandria.

Unit cell a=18.2150 b=5.0685 c=7.1334 alpha=90.00 beta=101.57 gamma=90.00
Space group C2/m (No. 12)
Asymmetric unit:
La 0.0000 0.0000 0.0000 x2
Dy 0.0000 0.0000 0.5000 x2
Dy 0.1021 0.5000 0.7981 x4
Dy 0.1039 0.5000 0.3087 x4
Dy 0.2023 0.0000 0.1073 x4
Th 0.1993 0.0000 0.5970 x4

For the total energy, the calculation gives -103.3 eV/cell. The calculation puts the formation energy from the elements at 0.032 eV/atom.


| no. | volume (A^3/atom) |
| --- | --- |
| 1 | 32.4 |
| 2 | 32.7 |
| 3 | 35.8 |
| 4 | 32.9 |
| 5 | 33.2 |
| 6 | 32.3 |